# PBE-GGA DyHoCSe, optimized geometry
# Total magnetization = 0.00 μB per formula unit
data_DyHoCSe
_chemical_formula_sum 'Dy2 Ho2 C2 Se2'
_cell_length_a 3.7495
_cell_length_b 3.7495
_cell_length_c 13.2506
_cell_angle_alpha 90.00
_cell_angle_beta 90.00
_cell_angle_gamma 120.00
_space_group_name_H-M_alt 'P -6 m 2'
_space_group_IT_number 187
_space_group_name_Hall 'P -6 2'
loop_
_atom_site_label
_atom_site_fract_x
_atom_site_fract_y
_atom_site_fract_z
Dy1 0.0000 0.0000 0.1499
Ho1 0.6667 0.3333 0.3501
C1 0.3333 0.6667 0.2502
Se1 0.0000 0.0000 0.5000
Se2 0.6667 0.3333 0.0000



# PBE-GGA DyHoSnC, optimized geometry
# Total magnetization = 0.01 μB per formula unit
data_DyHoSnC
_chemical_formula_sum 'Dy2 Ho2 Sn2 C2'
_cell_length_a 3.6080
_cell_length_b 3.6080
_cell_length_c 15.8330
_cell_angle_alpha 90.00
_cell_angle_beta 90.00
_cell_angle_gamma 120.00
_space_group_name_H-M_alt 'P -3 m 1'
_space_group_IT_number 164
_space_group_name_Hall '-P 3 2"'
loop_
_atom_site_label
_atom_site_fract_x
_atom_site_fract_y
_atom_site_fract_z
Dy1 0.3333 0.6667 0.4153
Ho1 0.3333 0.6667 0.0839
Sn1 0.3333 0.6667 0.7506
C1 0.0000 0.0000 0.0000
C2 0.0000 0.0000 0.5000



# PBE-GGA DyHoSnC, optimized geometry
# Total magnetization = 0.02 μB per formula unit
data_DyHoSnC
_chemical_formula_sum 'Dy2 Ho2 Sn2 C2'
_cell_length_a 3.6123
_cell_length_b 3.6123
_cell_length_c 15.8259
_cell_angle_alpha 90.00
_cell_angle_beta 90.00
_cell_angle_gamma 120.00
_space_group_name_H-M_alt 'P -6 m 2'
_space_group_IT_number 187
_space_group_name_Hall 'P -6 2'
loop_
_atom_site_label
_atom_site_fract_x
_atom_site_fract_y
_atom_site_fract_z
Dy1 0.0000 0.0000 0.1654
Ho1 0.6667 0.3333 0.3342
Sn1 0.0000 0.0000 0.5000
Sn2 0.6667 0.3333 0.0000
C1 0.3333 0.6667 0.2503



# PBE-GGA DyHoTeC, optimized geometry
# Total magnetization = 0.00 μB per formula unit
data_DyHoTeC
_chemical_formula_sum 'Dy2 Ho2 Te2 C2'
_cell_length_a 3.8180
_cell_length_b 3.8180
_cell_length_c 14.0398
_cell_angle_alpha 90.00
_cell_angle_beta 90.00
_cell_angle_gamma 120.00
_space_group_name_H-M_alt 'P 63 m c'
_space_group_IT_number 186
_space_group_name_Hall 'P 6c -2c'
loop_
_atom_site_label
_atom_site_fract_x
_atom_site_fract_y
_atom_site_fract_z
Dy1 0.3333 0.6667 0.0000
Ho1 0.3333 0.6667 0.3143
Te1 0.3333 0.6667 0.6573
C1 0.0000 0.0000 0.4070



no.,uncorrected energy (eV per cell)
1,-53.0
2,-49.2
3,-49.2
4,-50.1